The following is a PBE-GGA calculation of an optimized crystal structure of Zr3W, from the Alexandria database.

Output
Spin magnetization: 0.00 μB per cell
Formation energy: 257 meV per atom

Unit cell a=2.969 b=4.804 c=5.846 alpha=90.00 beta=90.00 gamma=90.00
Space group Pmmm (No. 47)
One atom of each set of equivalent atoms:
Zr1 0.000 0.000 0.000 (multiplicity 1)
Zr2 0.500 0.500 0.262 (multiplicity 2)
W1 0.000 0.000 0.500 (multiplicity 1)